Below is a relaxed structure of Rb2VTe3O12, with properties calculated at the PBE+U level.

```
data_Rb2VTe3O12
_chemical_formula_sum 'Rb6 V3 Te9 O36'
_cell_length_a 7.2838
_cell_length_b 7.2838
_cell_length_c 17.4052
_cell_angle_alpha 90.00
_cell_angle_beta 90.00
_cell_angle_gamma 120.00
_space_group_name_H-M_alt 'R -3 m'
_space_group_IT_number 166
_space_group_name_Hall '-R 3 2"'
loop_
_atom_site_label
_atom_site_type_symbol
_atom_site_fract_x
_atom_site_fract_y
_atom_site_fract_z
Rb1 Rb 0.0000 0.0000 0.1304
V1 V 0.0000 0.0000 0.5000
Te1 Te 0.0000 0.5000 0.0000
O1 O 0.0690 0.5345 0.3604
O2 O 0.0736 0.5368 0.1063
```

Properties
The energy comes out at -5.710 eV/atom.